Record 1
TaZnBr | GGA-PBEsol | relaxed

a = 6.097 Å, b = 6.097 Å, c = 6.097 Å
α = 90.00°, β = 90.00°, γ = 90.00°
Space group F-43m (No. 216)
Symmetry-distinct sites (fractional):
Ta 0.000 0.000 0.000 x4
Zn 0.000 0.000 0.500 x4
Br 0.250 0.250 0.250 x4

Energy relative to the lowest polymorph listed for this composition (kJ/mol of formula units): 0.0
Formation energy from raw total energies (eV/atom): 1.078
Magnetic moment (μB per formula unit): 0.000

---

Record 2
TaZnBr3 | GGA-PBEsol | relaxed

a = 4.973 Å, b = 4.973 Å, c = 4.973 Å
α = 90.00°, β = 90.00°, γ = 90.00°
Space group Pm-3m (No. 221)
Symmetry-distinct sites (fractional):
Ta 0.000 0.000 0.000 x1
Zn 0.500 0.500 0.500 x1
Br 0.000 0.500 0.500 x3

Formation energy from raw total energies (eV/atom): 0.691
Magnetic moment (μB per formula unit): 3.643